1.
This record from Alexandria via LeMat-Bulk describes crystalline ZnIn2Ni2 at its relaxed geometry. The functional is PBE.

Calculated values
D(E_F): 0.82 states/eV/atom
E_tot: -3.50 eV per atom
Energy relative to the elements: 15.7 kJ/mol of atoms

Unit cell a=3.3977 b=3.3977 c=15.7982 alpha=90.00 beta=90.00 gamma=90.00
Closest atoms and distances in Å follow each position.
Element x y z (fractional)
Zn 0.0000 0.0000 0.0000  8 In 3.04, 4 Zn 3.40
Zn 0.5000 0.5000 0.5000  8 In 3.04, 4 Zn 3.40
In 0.0000 0.0000 0.3818  4 Ni 2.69
In 0.0000 0.0000 0.6182  4 Ni 2.69
In 0.5000 0.5000 0.1182  4 Ni 2.69
In 0.5000 0.5000 0.8818  4 Ni 2.69
Ni 0.0000 0.5000 0.2500  4 Ni 2.40, 4 In 2.69
Ni 0.0000 0.5000 0.7500  4 Ni 2.40, 4 In 2.69
Ni 0.5000 0.0000 0.2500  4 Ni 2.40, 4 In 2.69
Ni 0.5000 0.0000 0.7500  4 Ni 2.40, 4 In 2.69

2.
This record from Alexandria via LeMat-Bulk describes crystalline ZnIn2Ni at its relaxed geometry. The functional is PBE.

Calculated values
D(E_F): 0.42 states/eV/atom
E_tot: -3.04 eV per atom
Energy relative to the elements: 9.0 kJ/mol of atoms

Unit cell a=3.2075 b=3.2075 c=25.5775 alpha=90.00 beta=90.00 gamma=120.00
Closest atoms and distances in Å follow each position.
Element x y z (fractional)
Zn 0.0000 0.0000 0.0000  6 In 2.99, 6 Zn 3.21
Zn 0.3333 0.6667 0.6667  6 In 2.99, 6 Zn 3.21
Zn 0.6667 0.3333 0.3333  6 In 2.99, 6 Zn 3.21
In 0.0000 0.0000 0.2418  3 Ni 2.67, 3 Zn 2.99
In 0.0000 0.0000 0.7582  3 Ni 2.67, 3 Zn 2.99
In 0.3333 0.6667 0.4249  3 Ni 2.67, 3 Zn 2.99
In 0.3333 0.6667 0.9084  3 Ni 2.67, 3 Zn 2.99
In 0.6667 0.3333 0.0916  3 Ni 2.67, 3 Zn 2.99
In 0.6667 0.3333 0.5751  3 Ni 2.67, 3 Zn 2.99
Ni 0.0000 0.0000 0.5000  6 In 2.67
Ni 0.3333 0.6667 0.1667  6 In 2.67
Ni 0.6667 0.3333 0.8333  6 In 2.67

3.
This record from Alexandria via LeMat-Bulk describes crystalline ZrZnInNi at its relaxed geometry. The functional is PBE.

Calculated values
D(E_F): 0.47 states/eV/atom
E_tot: -4.87 eV per atom
Energy relative to the elements: -27.2 kJ/mol of atoms

Unit cell a=6.4704 b=6.4704 c=6.4704 alpha=90.00 beta=90.00 gamma=90.00
Closest atoms and distances in Å follow each position.
Element x y z (fractional)
Zr 0.0000 0.0000 0.0000  4 Zn 2.80, 4 Ni 2.80
Zr 0.0000 0.5000 0.5000  4 Zn 2.80, 4 Ni 2.80
Zr 0.5000 0.0000 0.5000  4 Zn 2.80, 4 Ni 2.80
Zr 0.5000 0.5000 0.0000  4 Zn 2.80, 4 Ni 2.80
Zn 0.2500 0.2500 0.2500  4 In 2.80, 4 Zr 2.80
Zn 0.2500 0.7500 0.7500  4 Zr 2.80, 4 In 2.80
Zn 0.7500 0.2500 0.7500  4 Zr 2.80, 4 In 2.80
Zn 0.7500 0.7500 0.2500  4 Zr 2.80, 4 In 2.80
In 0.0000 0.0000 0.5000  4 Ni 2.80, 4 Zn 2.80
In 0.0000 0.5000 0.0000  4 Ni 2.80, 4 Zn 2.80
In 0.5000 0.0000 0.0000  4 Ni 2.80, 4 Zn 2.80
In 0.5000 0.5000 0.5000  4 Ni 2.80, 4 Zn 2.80
Ni 0.2500 0.2500 0.7500  4 Zr 2.80, 4 In 2.80
Ni 0.2500 0.7500 0.2500  4 Zr 2.80, 4 In 2.80
Ni 0.7500 0.2500 0.2500  4 Zr 2.80, 4 In 2.80
Ni 0.7500 0.7500 0.7500  4 Zr 2.80, 4 In 2.80

4.
This record from Alexandria via LeMat-Bulk describes crystalline Zr2In5Ni at its relaxed geometry. The functional is PBE.

Calculated values
D(E_F): 0.42 states/eV/atom
E_tot: -4.86 eV per atom
Energy relative to the elements: -27.8 kJ/mol of atoms

Unit cell a=10.1639 b=10.1639 c=6.8012 alpha=90.00 beta=90.00 gamma=90.00
Closest atoms and distances in Å follow each position.
Element x y z (fractional)
Zr 0.1618 0.1618 0.0000  2 Ni 2.85, 2 In 3.08
Zr 0.1978 0.1978 0.5000  1 Ni 2.70
Zr 0.3022 0.6978 0.0000  1 Ni 2.70
Zr 0.3382 0.6618 0.5000  2 Ni 2.85, 2 In 3.08
Zr 0.6618 0.3382 0.5000  2 Ni 2.85, 2 In 3.08
Zr 0.6978 0.3022 0.0000  1 Ni 2.70
Zr 0.8022 0.8022 0.5000  1 Ni 2.70
Zr 0.8382 0.8382 0.0000  2 Ni 2.85, 2 In 3.08
In 0.0000 0.0000 0.2971  2 Ni 2.61, 1 In 2.76
In 0.0000 0.0000 0.7029  2 Ni 2.61, 1 In 2.76
In 0.0594 0.7013 0.2784  1 Ni 2.72, 3 In 3.01-3.04
In 0.0594 0.7013 0.7216  1 Ni 2.72, 3 In 3.01-3.04
In 0.2013 0.4406 0.2216  1 Ni 2.72, 3 In 3.01-3.04
In 0.2013 0.4406 0.7784  1 Ni 2.72, 3 In 3.01-3.04
In 0.2987 0.9406 0.2784  1 Ni 2.72, 3 In 3.01-3.04
In 0.2987 0.9406 0.7216  1 Ni 2.72, 3 In 3.01-3.04
In 0.4406 0.2013 0.2216  1 Ni 2.72, 3 In 3.01-3.04
In 0.4406 0.2013 0.7784  1 Ni 2.72, 3 In 3.01-3.04
In 0.5000 0.5000 0.2029  2 Ni 2.61, 1 In 2.76
In 0.5000 0.5000 0.7971  2 Ni 2.61, 1 In 2.76
In 0.5594 0.7987 0.2216  1 Ni 2.72, 3 In 3.01-3.04
In 0.5594 0.7987 0.7784  1 Ni 2.72, 3 In 3.01-3.04
In 0.7013 0.0594 0.2784  1 Ni 2.72, 3 In 3.01-3.04
In 0.7013 0.0594 0.7216  1 Ni 2.72, 3 In 3.01-3.04
In 0.7987 0.5594 0.2216  1 Ni 2.72, 3 In 3.01-3.04
In 0.7987 0.5594 0.7784  1 Ni 2.72, 3 In 3.01-3.04
In 0.9406 0.2987 0.2784  1 Ni 2.72, 3 In 3.01-3.04
In 0.9406 0.2987 0.7216  1 Ni 2.72, 3 In 3.01-3.04
Ni 0.1146 0.8854 0.0000  6 In 2.61-2.72, 3 Zr 2.70-2.85
Ni 0.3854 0.3854 0.5000  6 In 2.61-2.72, 3 Zr 2.70-2.85
Ni 0.6146 0.6146 0.5000  6 In 2.61-2.72, 3 Zr 2.70-2.85
Ni 0.8854 0.1146 0.0000  6 In 2.61-2.72, 3 Zr 2.70-2.85